Material: LiAgHg
Method: DFT, PBE
State: relaxed

## Properties
N(E_F) (states/eV per atom): 0.289
Total energy (eV/atom): -1.90
ΔE_f (eV/atom): -0.211
Total magnetic moment (μB per atom): 0.00

Cell lengths 5.0755, 4.9332, 5.0928 Å; angles 90.00, 119.23, 90.00 degrees
Closest atoms and distances in Å follow each position.
Space group P2_1/m (No. 11)
Inequivalent atoms, fractional coordinates:
Li1 0.1831 0.2500 0.0017  5 Hg 2.87-3.08, 5 Ag 2.92-3.00, 2 Li 3.08
Ag1 0.4933 0.7500 0.3421  5 Hg 2.89-3.06, 5 Li 2.92-3.00, 2 Ag 2.93
Hg1 0.1692 0.7500 0.6918  5 Li 2.87-3.08, 5 Ag 2.89-3.06, 2 Hg 3.09


Material: Mn2Tc2Hg
Method: DFT, PBE
State: relaxed

## Properties
N(E_F) (states/eV per atom): 0.768
Total energy (eV/atom): -7.55
ΔE_f (eV/atom): 0.320
Total magnetic moment (μB per atom): 0.00

Cell lengths 7.2518, 7.2518, 2.7438 Å; angles 90.00, 90.00, 90.00 degrees
Closest atoms and distances in Å follow each position.
Space group P4/mbm (No. 127)
Inequivalent atoms, fractional coordinates:
Mn1 0.1248 0.3752 0.0000  6 Tc 2.50-2.59, 3 Mn 2.56-2.74
Tc1 0.1606 0.6606 0.5000  6 Mn 2.50-2.59, 2 Tc 2.74
Hg1 0.0000 0.0000 0.0000  2 Hg 2.74, 4 Mn 2.87, 8 Tc 3.05


Material: KRb2TlCd
Method: DFT, PBE
State: relaxed

## Properties
N(E_F) (states/eV per atom): 0.597
Total energy (eV/atom): -1.21
ΔE_f (eV/atom): 0.056
Total magnetic moment (μB per atom): 0.00

Cell lengths 7.1829, 7.1829, 5.7953 Å; angles 90.00, 90.00, 90.00 degrees
Closest atoms and distances in Å follow each position.
Space group P4/mmm (No. 123)
Inequivalent atoms, fractional coordinates:
K1 0.0000 0.0000 0.0000  8 Rb 4.61, 4 Tl 5.08
Rb1 0.0000 0.5000 0.5000  2 Cd 3.59
Tl1 0.5000 0.5000 0.0000  2 Cd 2.90
Cd1 0.5000 0.5000 0.5000  2 Tl 2.90


Material: K2CuHg
Method: DFT, PBE
State: relaxed

## Properties
N(E_F) (states/eV per atom): 0.328
Total energy (eV/atom): -1.53
ΔE_f (eV/atom): 0.116
Total magnetic moment (μB per atom): 0.00

Cell lengths 4.0728, 4.1186, 8.3046 Å; angles 90.00, 90.07, 90.00 degrees
Closest atoms and distances in Å follow each position.
Space group P2/m (No. 10)
Inequivalent atoms, fractional coordinates:
K1 0.9999 0.0000 0.2292  4 Cu 3.46-3.47, 4 Hg 3.67, 1 K 3.81
Cu1 0.5000 0.5000 0.0000  8 K 3.46-3.47
Hg1 0.5000 0.5000 0.5000  8 K 3.67, 2 Hg 4.07


Material: ScNbAg2Sb
Method: DFT, PBE
State: relaxed

## Properties
Formation energy from raw total energies (eV/atom): 1.033
N(E_F) (states/eV per atom): 0.974
Total energy (eV/atom): -4.21
Total magnetic moment (μB per atom): 0.13

Cell lengths 5.1966, 5.1966, 4.8947 Å; angles 90.00, 90.00, 90.00 degrees
Closest atoms and distances in Å follow each position.
Space group P4/mmm (No. 123)
Inequivalent atoms, fractional coordinates:
Sc1 0.0000 0.0000 0.0000  2 Nb 2.45
Nb1 0.0000 0.0000 0.5000  2 Sc 2.45, 4 Ag 2.60
Ag1 0.0000 0.5000 0.5000  2 Nb 2.60
Sb1 0.5000 0.5000 0.0000  8 Ag 3.57, 4 Sc 3.67


Material: Ce2ThRh5Au
Method: DFT, PBE
State: relaxed

## Properties
N(E_F) (states/eV per atom): 0.895
Total energy (eV/atom): -7.06
ΔE_f (eV/atom): -0.465
Total magnetic moment (μB per atom): 0.00

Cell lengths 8.1302, 8.1302, 11.2052 Å; angles 90.00, 90.00, 90.00 degrees
Closest atoms and distances in Å follow each position.
Space group I4/mcm (No. 140)
Inequivalent atoms, fractional coordinates:
Ce1 0.1348 0.3652 0.0000  2 Rh 2.39
Th1 0.0000 0.0000 0.2500  2 Rh 2.80
Rh1 0.0000 0.0000 0.0000  2 Th 2.80
Rh2 0.2056 0.2944 0.3634  1 Ce 2.39
Au1 0.0000 0.5000 0.2500  4 Rh 2.68


Material: Mn2MoPt
Method: DFT, PBE
State: relaxed

## Properties
N(E_F) (states/eV per atom): 0.789
Total energy (eV/atom): -8.90
ΔE_f (eV/atom): -0.092
Total magnetic moment (μB per atom): 0.19

Cell lengths 2.6889, 2.6889, 7.6723 Å; angles 90.00, 90.00, 90.00 degrees
Closest atoms and distances in Å follow each position.
Space group P4mm (No. 99)
Inequivalent atoms, fractional coordinates:
Mn1 0.0000 0.0000 0.0000  8 Mn 2.52-2.69, 4 Pt 2.74
Mn2 0.5000 0.5000 0.2153  8 Mn 2.52-2.69, 4 Mo 2.73
Mo1 0.0000 0.0000 0.4715  4 Mo 2.69, 4 Mn 2.73, 4 Pt 2.82
Pt1 0.5000 0.5000 0.7429  4 Pt 2.69, 4 Mn 2.74, 4 Mo 2.82


Material: Ti2SnBr8
Method: DFT, PBE
State: relaxed

## Properties
Formation energy from raw total energies (eV/atom): -0.987
N(E_F) (states/eV per atom): 0.962
Total energy (eV/atom): -4.00
Total magnetic moment (μB per atom): 0.18

Cell lengths 14.0034, 9.7100, 6.9921 Å; angles 90.00, 98.19, 90.00 degrees
Closest atoms and distances in Å follow each position.
Space group C2/m (No. 12)
Inequivalent atoms, fractional coordinates:
Ti1 0.1951 0.0000 0.1413  4 Br 2.37-2.46
Sn1 0.0000 0.0000 0.5000  6 Br 3.00-3.04
Br1 0.1044 0.1904 0.2618  1 Ti 2.46
Br2 0.1412 0.5000 0.7142  1 Ti 2.37
Br3 0.1838 0.0000 0.7889  1 Ti 2.45